Record 1
The following is a DFT calculation (PBE) of a geometry-optimized BeCu3Ir structure.

The calculation puts the distance to the lowest polymorph of the same formula at 0 meV per atom.

Cell lengths 3.949, 3.949, 3.949 Å; angles 90.00, 90.00, 90.00 degrees
Element x y z (fractional)
Be (0.000, 0.000, 0.000)
Cu (0.000, 0.000, 0.500)
Cu (0.000, 0.500, 0.000)
Cu (0.500, 0.000, 0.000)
Ir (0.500, 0.500, 0.500)

Record 2
The following is a DFT calculation (PBE) of a geometry-optimized TbAg2SnSe4 structure.

The value obtained for the formation energy (no corrections) is -5.718 eV/f.u.

Cell lengths 6.913, 4.135, 7.199 Å; angles 90.00, 110.12, 90.00 degrees
Element x y z (fractional)
Tb (0.000, 0.000, 0.000)
Ag (0.500, 0.000, 0.500)
Ag (0.500, 0.500, 0.000)
Sn (0.000, 0.500, 0.500)
Se (0.249, 0.500, 0.251)
Se (0.256, 0.000, 0.752)
Se (0.744, 0.000, 0.248)
Se (0.751, 0.500, 0.749)

Record 3
The following is a DFT calculation (PBE) of a geometry-optimized Pm6GaAg2 structure.

Cell lengths 8.797, 8.797, 8.797 Å; angles 110.15, 109.60, 108.67 degrees
Element x y z (fractional)
Pm (0.062, 0.238, 0.824)
Pm (0.229, 0.558, 0.329)
Pm (0.229, 0.900, 0.671)
Pm (0.303, 0.249, 0.553)
Pm (0.303, 0.751, 0.054)
Pm (0.413, 0.238, 0.176)
Pm (0.587, 0.762, 0.824)
Pm (0.697, 0.249, 0.946)
Pm (0.697, 0.751, 0.447)
Pm (0.771, 0.100, 0.329)
Pm (0.771, 0.442, 0.671)
Pm (0.938, 0.762, 0.176)
Ga (0.500, 0.000, 0.500)
Ga (0.500, 0.500, 0.000)
Ag (0.000, 0.136, 0.136)
Ag (0.000, 0.864, 0.864)
Ag (0.141, 0.500, 0.641)
Ag (0.859, 0.500, 0.359)

Record 4
The following is a DFT calculation (PBE) of a geometry-optimized Rb3LaNp2Se6 structure.

The value obtained for the formation energy (no corrections) is -17.018 eV/f.u.

Cell lengths 7.565, 7.565, 8.380 Å; angles 98.66, 98.66, 120.00 degrees
Element x y z (fractional)
Rb (0.000, 0.000, 0.000)
Rb (0.335, 0.665, 0.000)
Rb (0.665, 0.335, 0.000)
La (0.500, 0.500, 0.500)
Np (0.167, 0.833, 0.500)
Np (0.833, 0.167, 0.500)
Se (0.091, 0.434, 0.302)
Se (0.223, 0.223, 0.698)
Se (0.434, 0.091, 0.302)
Se (0.566, 0.909, 0.698)
Se (0.777, 0.777, 0.302)
Se (0.909, 0.566, 0.698)

Record 5
The following is a DFT calculation (PBE) of a geometry-optimized Ta2TlTc structure.

The calculation puts the distance to the lowest polymorph of the same formula at 212 meV per atom.

Cell lengths 5.249, 5.249, 5.249 Å; angles 134.49, 134.49, 66.32 degrees
Element x y z (fractional)
Ta (0.000, 0.000, 0.000)
Ta (0.750, 0.250, 0.500)
Tl (0.500, 0.500, 0.000)
Tc (0.250, 0.750, 0.500)

Record 6
The following is a DFT calculation (PBE) of a geometry-optimized CsRbSr2Au structure.

The calculation puts the distance to the lowest polymorph of the same formula at 0 meV per atom.

Cell lengths 6.324, 6.324, 7.223 Å; angles 90.00, 90.00, 90.00 degrees
Element x y z (fractional)
Cs (0.000, 0.000, 0.000)
Rb (0.500, 0.500, 0.000)
Sr (0.000, 0.500, 0.500)
Sr (0.500, 0.000, 0.500)
Au (0.000, 0.000, 0.500)

| no. | E_tot (eV/cell) |
| --- | --- |
| 1 | -22.1 |
| 2 | -34.0 |
| 3 | -78.1 |
| 4 | -71.6 |
| 5 | -34.9 |
| 6 | -9.4 |